Arrangement i

A plane-wave DFT calculation with PBE was carried out for a geometry-optimized HoErFe structure.

Cell and atoms, written as POSCAR:
```
HoErFe
1.0
-1.6505 1.6505 6.3438
1.6505 -1.6505 6.3438
1.6505 1.6505 -6.3438
Ho Er Fe
1 1 1
direct
0.0000 0.0000 0.0000
0.7482 0.7482 0.0000
0.3735 0.3735 0.0000
```

magnetization	0.00	μB/f.u.
space group	I4mm

---

Arrangement ii

A plane-wave DFT calculation with PBE was carried out for a geometry-optimized HoErFe structure.

Cell and atoms, written as POSCAR:
```
HoErFe
1.0
3.3770 -5.8933 0.0000
3.3770 5.8933 0.0000
0.0000 0.0000 7.2814
Ho Er Fe
4 4 4
direct
0.1971 0.8029 0.8865
0.3029 0.6971 0.3865
0.6971 0.3029 0.6135
0.8029 0.1971 0.1135
0.2050 0.2950 0.7500
0.2950 0.2050 0.2500
0.7050 0.7950 0.7500
0.7950 0.7050 0.2500
0.0926 0.9074 0.5443
0.4074 0.5926 0.0443
0.5926 0.4074 0.9557
0.9074 0.0926 0.4557
```

magnetization	0.75	μB/f.u.
space group	Cmce

---

Which is the most stable structure? arrangement i is the most stable.